1.
VASP calculation (GGA-PBE) on a relaxed structure of Sc4InPb.

Formation enthalpy at 0 K: -0.07 eV per atom
Energy above the most stable polymorph in this dataset: 0 meV/atom

Lattice parameters (Å, degrees): 3.3554 5.2599 8.5837 90.00 90.00 90.00
Space group Pmmm (No. 47)
Symmetry-distinct sites (fractional):
Sc (0.0000, 0.0000, 0.1899) x2
Sc (0.5000, 0.5000, 0.3040) x2
In (0.0000, 0.5000, 0.0000) x1
Pb (0.5000, 0.0000, 0.5000) x1

---

2.
VASP calculation (GGA-PBE) on a relaxed structure of Ba8As3Br4.

Formation energy from raw total energies: -1401 meV per atom

Lattice parameters (Å, degrees): 9.5533 9.5533 25.5525 90.00 90.00 120.00
Space group R-3m (No. 166, hexagonal axes)
Symmetry-distinct sites (fractional):
Ba (0.0000, 0.0000, 0.2339) x6
Ba (0.0150, 0.5075, 0.7621) x18
As (0.0000, 0.5000, 0.5000) x9
Br (0.0000, 0.0000, 0.0000) x3
Br (0.0000, 0.0000, 0.3595) x6
Br (0.0000, 0.0000, 0.5000) x3

---

3.
VASP calculation (GGA-PBE) on a relaxed structure of Mn2AgW.

Formation enthalpy at 0 K: 0.91 eV per atom
Energy above the most stable polymorph in this dataset: 585 meV/atom

Lattice parameters (Å, degrees): 6.8411 6.8411 5.4635 90.00 90.00 90.00
Space group I-42d (No. 122)
Symmetry-distinct sites (fractional):
Mn (0.2271, 0.2500, 0.1250) x8
Ag (0.0000, 0.0000, 0.5000) x4
W (0.0000, 0.0000, 0.0000) x4

---

4.
VASP calculation (GGA-PBE) on a relaxed structure of EuZnN.

Formation energy from raw total energies: -220 meV per atom

Lattice parameters (Å, degrees): 3.5165 3.5165 5.0723 90.00 90.00 120.00
Space group P3m1 (No. 156)
Symmetry-distinct sites (fractional):
Eu (0.0000, 0.0000, 0.0000) x1
Zn (0.6667, 0.3333, 0.4579) x1
N (0.3333, 0.6667, 0.2590) x1

---

5.
VASP calculation (GGA-PBE) on a relaxed structure of AcPmPr2.

Formation enthalpy at 0 K: 0.03 eV per atom
Energy above the most stable polymorph in this dataset: 13 meV/atom

Lattice parameters (Å, degrees): 3.7831 3.7831 36.7773 90.00 90.00 120.00
Space group R3m (No. 160, hexagonal axes)
Symmetry-distinct sites (fractional):
Ac (0.0000, 0.0000, 0.0000) x3
Pm (0.0000, 0.0000, 0.8332) x3
Pr (0.0000, 0.0000, 0.2467) x3
Pr (0.0000, 0.0000, 0.4196) x3

---

6.
VASP calculation (GGA-PBE) on a relaxed structure of La2HgRuPb.

Formation enthalpy at 0 K: 1.00 eV per atom
Energy above the most stable polymorph in this dataset: 1324 meV/atom

Lattice parameters (Å, degrees): 6.0884 6.0884 5.2984 90.00 90.00 90.00
Space group P4/mmm (No. 123)
Symmetry-distinct sites (fractional):
La (0.0000, 0.5000, 0.0000) x2
Hg (0.0000, 0.0000, 0.5000) x1
Ru (0.5000, 0.5000, 0.5000) x1
Pb (0.0000, 0.0000, 0.0000) x1

---

7.
VASP calculation (GGA-PBE) on a relaxed structure of Bi9Sb4Pb11.

Formation energy from raw total energies: 91 meV per atom

Lattice parameters (Å, degrees): 7.2808 10.7456 11.2704 105.22 106.97 94.12
Space group P-1 (No. 2)
Symmetry-distinct sites (fractional):
Bi (0.0000, 0.0000, 0.0000) x1
Bi (0.1318, 0.1361, 0.6279) x2
Bi (0.2275, 0.2502, 0.4100) x2
Bi (0.3458, 0.3972, 0.8565) x2
Bi (0.4769, 0.5592, 0.6690) x2
Sb (0.2147, 0.9400, 0.2717) x2
Sb (0.2542, 0.2749, 0.0621) x2
Pb (0.0000, 0.5000, 0.5000) x1
Pb (0.1489, 0.6176, 0.2938) x2
Pb (0.1574, 0.6419, 0.0079) x2
Pb (0.2080, 0.7816, 0.7916) x2
Pb (0.3576, 0.8805, 0.5634) x2
Pb (0.4697, 0.0901, 0.8894) x2

---

8.
VASP calculation (GGA-PBE) on a relaxed structure of NpAlZn2.

Formation enthalpy at 0 K: 0.09 eV per atom
Energy above the most stable polymorph in this dataset: 56 meV/atom

Lattice parameters (Å, degrees): 2.7881 2.7881 8.8930 90.00 90.00 90.00
Space group P4/mmm (No. 123)
Symmetry-distinct sites (fractional):
Np (0.0000, 0.0000, 0.0000) x1
Al (0.0000, 0.0000, 0.5000) x1
Zn (0.5000, 0.5000, 0.2764) x2

---

9.
VASP calculation (GGA-PBE) on a relaxed structure of K3AlHg.

Formation enthalpy at 0 K: 0.29 eV per atom
Energy above the most stable polymorph in this dataset: 0 meV/atom

Lattice parameters (Å, degrees): 6.6957 6.6957 6.6957 90.00 90.00 90.00
Space group Pm-3m (No. 221)
Symmetry-distinct sites (fractional):
K (0.0000, 0.0000, 0.5000) x3
Al (0.0000, 0.0000, 0.0000) x1
Hg (0.5000, 0.5000, 0.5000) x1

---

10.
VASP calculation (GGA-PBE) on a relaxed structure of Sr3RhO8.

Formation energy from raw total energies: -1203 meV per atom

Lattice parameters (Å, degrees): 5.6194 5.6194 11.2951 90.00 90.00 90.00
Space group I4/mmm (No. 139)
Symmetry-distinct sites (fractional):
Sr (0.0000, 0.0000, 0.0000) x2
Sr (0.0000, 0.5000, 0.2500) x4
Rh (0.0000, 0.0000, 0.5000) x2
O (0.2099, 0.2099, 0.3918) x16

---

11.
VASP calculation (GGA-PBE) on a relaxed structure of BPd8Se2.

Formation energy from raw total energies: -142 meV per atom

Lattice parameters (Å, degrees): 17.3852 3.1484 6.9138 90.00 109.94 90.00
Space group C2/m (No. 12)
Symmetry-distinct sites (fractional):
B (0.0000, 0.0000, 0.0000) x2
Pd (0.0360, 0.5000, 0.2174) x4
Pd (0.1113, 0.0000, 0.9510) x4
Pd (0.1759, 0.0000, 0.4020) x4
Pd (0.2468, 0.5000, 0.1684) x4
Se (0.1324, 0.5000, 0.6411) x4